No. 1
Material: PrInNi2
Method: DFT, meta-GGA SCAN
State: single point on PBEsol structure

a = 4.010 Å, b = 5.148 Å, c = 7.091 Å
α = 90.00°, β = 90.00°, γ = 90.00°
Fractional coordinates of all 8 atoms:
Pr  0.000  0.750  0.276
Pr  0.000  0.250  0.724
Ni  0.000  0.250  0.105
Ni  0.000  0.750  0.895
Ni  0.500  0.500  0.000
Ni  0.500  0.000  0.000
In  0.500  0.250  0.341
In  0.500  0.750  0.659

Properties
**SG**: No. 51
**E**: -27.68 eV per atom
**M_tot**: 0.00 μB per cell

No. 2
Material: Ba3C
Method: DFT, meta-GGA SCAN
State: single point on PBEsol structure

a = 6.288 Å, b = 6.288 Å, c = 6.288 Å
α = 90.00°, β = 90.00°, γ = 90.00°
Fractional coordinates of all 8 atoms:
Ba  0.750  0.500  0.000
Ba  0.250  0.500  0.000
Ba  0.000  0.750  0.500
Ba  0.000  0.250  0.500
Ba  0.500  0.000  0.250
Ba  0.500  0.000  0.750
C  0.000  0.000  0.000
C  0.500  0.500  0.500

Properties
**SG**: No. 223
**M_tot**: 0.00 μB per cell
**Polymorph energy (0 for the lowest one)**: 3.502 eV per formula unit

No. 3
Material: Li2MgB12H16O28
Method: DFT, meta-GGA SCAN
State: single point on PBEsol structure

a = 6.851 Å, b = 9.145 Å, c = 9.351 Å
α = 72.39°, β = 88.93°, γ = 68.16°
Fractional coordinates of all 59 atoms:
Li  0.733  0.764  0.715
Li  0.267  0.236  0.285
Mg  0.000  0.500  0.500
B  0.896  0.395  0.843
B  0.104  0.605  0.157
B  0.511  0.456  0.808
B  0.489  0.544  0.192
B  0.745  0.297  0.652
B  0.255  0.703  0.348
B  0.950  0.008  0.671
B  0.050  0.992  0.329
B  0.140  0.162  0.747
B  0.860  0.838  0.253
B  0.229  0.191  0.991
B  0.771  0.809  0.009
H  0.346  0.269  0.659
H  0.654  0.731  0.341
H  0.075  0.530  0.772
H  0.925  0.470  0.228
H  0.650  0.476  0.438
H  0.350  0.524  0.562
H  0.504  0.047  0.116
H  0.496  0.953  0.884
H  0.099  0.772  0.682
H  0.901  0.228  0.318
H  0.302  0.547  0.941
H  0.698  0.453  0.059
H  0.406  0.836  0.517
H  0.594  0.164  0.483
H  0.349  0.890  0.661
H  0.651  0.110  0.339
O  0.214  0.266  0.624
O  0.786  0.734  0.376
O  0.939  0.531  0.731
O  0.061  0.469  0.269
O  0.779  0.403  0.511
O  0.221  0.597  0.489
O  0.757  0.138  0.642
O  0.243  0.862  0.358
O  0.133  0.019  0.714
O  0.867  0.981  0.286
O  0.916  0.264  0.769
O  0.084  0.736  0.231
O  0.680  0.454  0.884
O  0.320  0.546  0.116
O  0.536  0.381  0.697
O  0.464  0.619  0.303
O  0.278  0.108  0.885
O  0.722  0.892  0.115
O  0.042  0.321  0.976
O  0.958  0.679  0.024
O  0.369  0.142  0.115
O  0.631  0.858  0.885
O  0.957  0.860  0.656
O  0.043  0.140  0.344
O  0.307  0.528  0.840
O  0.693  0.472  0.160
O  0.463  0.812  0.622
O  0.537  0.188  0.378

Properties
**SG**: No. 2
**E**: -7.60 eV per atom
**M_tot**: 0.00 μB per cell

Across the entries above, Fermi-level density of states takes the values 0.59, 0.84, 0.00 states/eV per atom, respectively.
Across the entries above, V takes the values 18.296, 31.073, 8.736 Å³ per atom, respectively.